Entry 1:
! NdAl2Pd8 (PBE, optimized geometry); values from VASP
&SYSTEM
  ibrav = 0, nat = 11, ntyp = 3
/
ATOMIC_SPECIES
Nd 144.24 Nd.upf
Al 26.98 Al.upf
Pd 106.42 Pd.upf
CELL_PARAMETERS angstrom
6.086 0.000 0.000
0.000 6.086 0.000
0.000 0.000 5.632
ATOMIC_POSITIONS angstrom
Nd 0.000 0.000 0.000
Al 0.000 3.043 2.816
Al 3.043 0.000 2.816
Pd 1.691 1.691 1.422
Pd 1.691 1.691 4.210
Pd 1.691 4.395 1.422
Pd 1.691 4.395 4.210
Pd 4.395 1.691 1.422
Pd 4.395 1.691 4.210
Pd 4.395 4.395 1.422
Pd 4.395 4.395 4.210
! - Formation enthalpy at 0 K: -0.33 eV per atom
! - Space group: No. 123
! - Calculated total energy: -5.22 eV/atom

Entry 2:
! NdAlPd2 (PBE, optimized geometry); values from VASP
&SYSTEM
  ibrav = 0, nat = 4, ntyp = 3
/
ATOMIC_SPECIES
Nd 144.24 Nd.upf
Al 26.98 Al.upf
Pd 106.42 Pd.upf
CELL_PARAMETERS angstrom
3.173 0.000 0.000
0.000 3.173 0.000
0.000 0.000 7.392
ATOMIC_POSITIONS angstrom
Nd 0.000 0.000 0.000
Al 0.000 0.000 3.696
Pd 1.586 1.586 2.257
Pd 1.586 1.586 5.135
! - Formation enthalpy at 0 K: -0.72 eV per atom
! - Space group: No. 123
! - Calculated total energy: -5.44 eV/atom

Entry 3:
! NdAl4Pd (PBE, optimized geometry); values from VASP
&SYSTEM
  ibrav = 0, nat = 12, ntyp = 3
/
ATOMIC_SPECIES
Nd 144.24 Nd.upf
Al 26.98 Al.upf
Pd 106.42 Pd.upf
CELL_PARAMETERS angstrom
6.387 0.000 0.000
0.000 6.387 0.000
0.000 0.000 7.059
ATOMIC_POSITIONS angstrom
Nd 0.000 3.194 0.000
Nd 3.194 0.000 0.000
Al 0.000 0.000 1.191
Al 0.000 0.000 5.868
Al 0.954 2.240 3.529
Al 2.240 5.433 3.529
Al 3.194 3.194 1.191
Al 3.194 3.194 5.868
Al 4.147 0.954 3.529
Al 5.433 4.147 3.529
Pd 0.000 0.000 3.529
Pd 3.194 3.194 3.529
! - Formation enthalpy at 0 K: -0.04 eV per atom
! - Space group: No. 127
! - Calculated total energy: -4.19 eV/atom